# Na2Gd2Ti3O10, relaxed, DFT PBE
# total magnetic moment: 27.9 Bohr magnetons per cell
# ΔE_f (raw): -2.93 eV/atom
# electronic total energy: -307.59 eV for the cell shown
data_Na2Gd2Ti3O10
_space_group_name_H-M_alt 'I 4/m m m'
_space_group_IT_number 139
_space_group_name_Hall '-I 4 2'
_cell_length_a 3.8303
_cell_length_b 3.8303
_cell_length_c 28.6596
_cell_angle_alpha 90.00
_cell_angle_beta 90.00
_cell_angle_gamma 90.00
loop_
_atom_site_label
_atom_site_type_symbol
_atom_site_fract_x
_atom_site_fract_y
_atom_site_fract_z
Na1 Na 0.0000 0.0000 0.2123
Gd1 Gd 0.0000 0.0000 0.0756
Ti1 Ti 0.0000 0.0000 0.3544
Ti2 Ti 0.0000 0.0000 0.5000
O1 O 0.0000 0.0000 0.2927
O2 O 0.0000 0.0000 0.4326
O3 O 0.0000 0.5000 0.0000
O4 O 0.0000 0.5000 0.1304